*A*
A plane-wave DFT calculation with meta-GGA SCAN was carried out for AlPAu2 at its PBEsol-relaxed geometry.

Cell: 5.4743 5.4975 4.4982 Å, 90.00 90.00 90.00°
With the nearest neighbours (Å) after each atom.
Fractional positions:
Al (0.0000, 0.0000, 0.0000)  4 Au 2.63, 4 P 2.74-2.75
Al (0.5000, 0.5000, 0.0000)  4 Au 2.63, 4 P 2.74-2.75
P (0.0000, 0.5000, 0.0000)  4 Au 2.64, 4 Al 2.74-2.75
P (0.5000, 0.0000, 0.0000)  4 Au 2.64, 4 Al 2.74-2.75
Au (0.0000, 0.2483, 0.5000)  2 Al 2.63, 2 P 2.64, 4 Au 2.73-2.77
Au (0.0000, 0.7517, 0.5000)  2 Al 2.63, 2 P 2.64, 4 Au 2.73-2.77
Au (0.5000, 0.2517, 0.5000)  2 Al 2.63, 2 P 2.64, 4 Au 2.73-2.77
Au (0.5000, 0.7483, 0.5000)  2 Al 2.63, 2 P 2.64, 4 Au 2.73-2.77

Output
As for the volume: 135.4 Å³ per cell. The space group is Cmmm, No. 65. As for the total magnetization: 0.0000 μB/atom.

=====

*B*
A plane-wave DFT calculation with meta-GGA SCAN was carried out for AlPAu2 at its PBEsol-relaxed geometry.

Cell: 6.4139 6.4139 6.4139 Å, 90.00 90.00 90.00°
With the nearest neighbours (Å) after each atom.
Fractional positions:
Al (0.0000, 0.0000, 0.0000)  4 Au 2.78, 4 P 2.78
Al (0.0000, 0.5000, 0.5000)  4 P 2.78, 4 Au 2.78
Al (0.5000, 0.0000, 0.5000)  4 P 2.78, 4 Au 2.78
Al (0.5000, 0.5000, 0.0000)  4 P 2.78, 4 Au 2.78
P (0.2500, 0.2500, 0.7500)  4 Al 2.78, 4 Au 2.78
P (0.2500, 0.7500, 0.2500)  4 Al 2.78, 4 Au 2.78
P (0.7500, 0.2500, 0.2500)  4 Al 2.78, 4 Au 2.78
P (0.7500, 0.7500, 0.7500)  4 Au 2.78, 4 Al 2.78
Au (0.0000, 0.0000, 0.5000)  4 P 2.78, 4 Au 2.78
Au (0.0000, 0.5000, 0.0000)  4 P 2.78, 4 Au 2.78
Au (0.2500, 0.2500, 0.2500)  4 Al 2.78, 4 Au 2.78
Au (0.2500, 0.7500, 0.7500)  4 Al 2.78, 4 Au 2.78
Au (0.5000, 0.0000, 0.0000)  4 P 2.78, 4 Au 2.78
Au (0.5000, 0.5000, 0.5000)  4 P 2.78, 4 Au 2.78
Au (0.7500, 0.2500, 0.7500)  4 Al 2.78, 4 Au 2.78
Au (0.7500, 0.7500, 0.2500)  4 Al 2.78, 4 Au 2.78

Output
As for the volume: 263.9 Å³ per cell. The space group is F-43m, No. 216. As for the total magnetization: 0.0000 μB/atom.

=====

Stability order, top to bottom: *A*, *B*